The following is a DFT calculation (PBE) of a geometry-optimized LaH3Os structure.

Summary:
Total DFT energy (no corrections): -4.06 eV per atom

Cell lengths 4.086, 4.086, 4.086 Å; angles 90.00, 90.00, 90.00 degrees
Fractional coordinates of all 5 atoms:
H 0.000 0.500 0.000
H 0.000 0.000 0.500
H 0.500 0.000 0.000
Os 0.500 0.500 0.500
La 0.000 0.000 0.000

The following is a DFT calculation (PBE) of a geometry-optimized Pm4SmMg structure.

Summary:
Formation energy from the elements: 0.013 eV/atom
Offset from the most stable computed form: 35.9 meV per atom

Cell lengths 5.054, 10.156, 7.987 Å; angles 90.00, 108.44, 90.00 degrees
Fractional coordinates of all 12 atoms:
Pm 0.999 0.197 0.999
Pm 0.001 0.697 0.001
Pm 0.500 0.947 0.999
Pm 0.500 0.447 0.001
Pm 0.832 0.450 0.664
Pm 0.168 0.950 0.336
Pm 0.668 0.197 0.336
Pm 0.332 0.697 0.664
Sm 0.832 0.945 0.665
Sm 0.168 0.445 0.335
Mg 0.666 0.697 0.332
Mg 0.334 0.197 0.668

The following is a DFT calculation (PBE) of a geometry-optimized TiP2IrO structure.

Summary:
E_form (uncorrected): 0.120 eV/atom
Offset from the most stable computed form: 151.2 meV per atom

Cell lengths 4.784, 4.784, 3.669 Å; angles 90.00, 90.00, 90.00 degrees
Fractional coordinates of all 5 atoms:
P 0.000 0.500 0.000
P 0.500 0.000 0.000
Ir 0.000 0.000 0.000
O 0.000 0.000 0.500
Ti 0.500 0.500 0.500

The following is a DFT calculation (PBE) of a geometry-optimized V3Ga structure.

Summary:
Formation energy from the elements: -0.081 eV/atom

Cell lengths 2.605, 2.605, 8.413 Å; angles 90.00, 90.00, 104.48 degrees
Fractional coordinates of all 4 atoms:
Ga 0.000 0.000 0.000
V 0.500 0.500 0.747
V 0.000 0.000 0.500
V 0.500 0.500 0.253

The following is a DFT calculation (PBE) of a geometry-optimized RbTmBi structure.

Summary:
Formation energy from the elements: -0.376 eV/atom
Offset from the most stable computed form: 0.0 meV per atom

Cell lengths 5.018, 5.018, 14.011 Å; angles 79.68, 79.68, 60.00 degrees
Fractional coordinates of all 6 atoms:
Tm 0.306 0.306 0.081
Tm 0.694 0.694 0.919
Rb 0.113 0.113 0.660
Rb 0.887 0.887 0.340
Bi 0.385 0.385 0.844
Bi 0.615 0.615 0.156

The following is a DFT calculation (PBE) of a geometry-optimized TmSc2Al structure.

Summary:
Formation energy from the elements: -0.220 eV/atom
Offset from the most stable computed form: 11.1 meV per atom

Cell lengths 4.544, 4.498, 4.498 Å; angles 90.00, 90.00, 90.00 degrees
Fractional coordinates of all 4 atoms:
Sc 0.000 0.000 0.500
Sc 0.000 0.500 0.000
Tm 0.500 0.500 0.500
Al 0.500 0.000 0.000

The following is a DFT calculation (PBE) of a geometry-optimized BaScSn3 structure.

Summary:
Formation energy from the elements: -0.330 eV/atom
Offset from the most stable computed form: 0.0 meV per atom

Cell lengths 5.539, 5.539, 5.539 Å; angles 90.00, 90.00, 90.00 degrees
Fractional coordinates of all 5 atoms:
Sc 0.000 0.000 0.000
Ba 0.500 0.500 0.500
Sn 0.000 0.500 0.000
Sn 0.000 0.000 0.500
Sn 0.500 0.000 0.000

The following is a DFT calculation (PBE) of a geometry-optimized OsPt2W2 structure.

Summary:
Formation energy from the elements: 0.276 eV/atom

Cell lengths 4.613, 4.614, 4.577 Å; angles 72.42, 72.43, 67.71 degrees
Fractional coordinates of all 5 atoms:
Os 0.000 0.500 0.000
Pt 0.256 0.244 0.500
Pt 0.744 0.756 0.500
W 0.682 0.182 0.920
W 0.318 0.818 0.080